The following is a GGA-PBE calculation of crystalline ScTl2W at its relaxed geometry, from Alexandria via LeMat-Bulk.

Cell lengths 3.064, 4.969, 12.219 Å; angles 90.00, 90.00, 90.00 degrees
Space group Imm2 (No. 44)
One atom of each set of equivalent atoms:
Sc 0.000 0.000 0.000 [2 per cell]
Tl 0.000 0.000 0.594 [2 per cell]
Tl 0.000 0.500 0.810 [2 per cell]
W 0.000 0.500 0.308 [2 per cell]

Calculated values
magnetic moment = 0.0 μB/f.u.
offset from the most stable computed form = 0.052 eV/atom
ρ = 11.38 g/cm³
energy = -5.501 eV per atom
calculated formation energy = 0.50 eV/atom


The following is a GGA-PBE calculation of crystalline ScTl2W at its relaxed geometry, from Alexandria via LeMat-Bulk.

Cell lengths 3.080, 5.040, 5.584 Å; angles 90.00, 92.23, 90.00 degrees
Space group P2/m (No. 10)
One atom of each set of equivalent atoms:
Sc 0.000 0.000 0.000 [1 per cell]
Tl 0.286 0.500 0.745 [2 per cell]
W 0.500 0.000 0.500 [1 per cell]

Calculated values
magnetic moment = 0.0 μB/f.u.
offset from the most stable computed form = 0.071 eV/atom
ρ = 12.22 g/cm³
energy = -5.482 eV per atom
calculated formation energy = 0.52 eV/atom